# AcPrP2Pd2 GGA-PBE relaxed
# Energy ... -37.49 eV per formula unit
# Formation enthalpy at 0 K ... -118.9 kJ per mole of atoms
data_AcPrP2Pd2
_chemical_formula_sum 'Ac1 Pr1 P2 Pd2'
_cell_length_a 4.3097
_cell_length_b 4.3097
_cell_length_c 8.1151
_cell_angle_alpha 90.00
_cell_angle_beta 90.00
_cell_angle_gamma 120.00
_symmetry_space_group_name_H-M 'P -3 m 1'
_symmetry_Int_Tables_number 164
_symmetry_space_group_name_Hall '-P 3 2"'
loop_
_atom_site_label
_atom_site_type_symbol
_atom_site_fract_x
_atom_site_fract_y
_atom_site_fract_z
Ac1 Ac 0.0000 0.0000 0.0000
Pr1 Pr 0.0000 0.0000 0.5000
P1 P 0.3333 0.6667 0.2642
Pd1 Pd 0.3333 0.6667 0.7427

=====

# Tl2SbSe GGA-PBE relaxed
# Energy ... -12.30 eV per formula unit
# Uncorrected formation energy ... 0.0096 eV/atom
# Relative energy among the computed polymorphs ... 107.1 meV/atom
data_Tl2SbSe
_chemical_formula_sum 'Tl2 Sb1 Se1'
_cell_length_a 3.594
_cell_length_b 3.594
_cell_length_c 8.864
_cell_angle_alpha 90.00
_cell_angle_beta 90.00
_cell_angle_gamma 90.00
_symmetry_space_group_name_H-M 'P 4/m m m'
_symmetry_Int_Tables_number 123
_symmetry_space_group_name_Hall '-P 4 2'
loop_
_atom_site_label
_atom_site_type_symbol
_atom_site_fract_x
_atom_site_fract_y
_atom_site_fract_z
Tl1 Tl 0.000 0.000 0.214
Sb1 Sb 0.500 0.500 0.500
Se1 Se 0.500 0.500 0.000

=====

# Tb4SiPbC GGA-PBE relaxed
# Energy ... -40.37 eV per formula unit
# Uncorrected formation energy ... -0.4991 eV/atom
data_Tb4SiPbC
_chemical_formula_sum 'Tb16 Si4 Pb4 C4'
_cell_length_a 6.757
_cell_length_b 15.700
_cell_length_c 6.763
_cell_angle_alpha 90.00
_cell_angle_beta 90.00
_cell_angle_gamma 90.00
_symmetry_space_group_name_H-M 'C m c m'
_symmetry_Int_Tables_number 63
_symmetry_space_group_name_Hall '-C 2c 2'
loop_
_atom_site_label
_atom_site_type_symbol
_atom_site_fract_x
_atom_site_fract_y
_atom_site_fract_z
Tb1 Tb 0.000 0.081 0.250
Tb2 Tb 0.000 0.408 0.250
Tb3 Tb 0.250 0.250 0.000
Si1 Si 0.000 0.116 0.750
Pb1 Pb 0.000 0.393 0.750
C1 C 0.000 0.248 0.250

=====

# MgTiI2 GGA-PBE relaxed
# Energy ... -13.03 eV per formula unit
# Uncorrected formation energy ... -0.1111 eV/atom
# Relative energy among the computed polymorphs ... 0.0 meV/atom
data_MgTiI2
_chemical_formula_sum 'Mg4 Ti4 I8'
_cell_length_a 9.931
_cell_length_b 9.931
_cell_length_c 5.970
_cell_angle_alpha 90.00
_cell_angle_beta 90.00
_cell_angle_gamma 90.00
_symmetry_space_group_name_H-M 'I -4 2 d'
_symmetry_Int_Tables_number 122
_symmetry_space_group_name_Hall 'I -4 2bw'
loop_
_atom_site_label
_atom_site_type_symbol
_atom_site_fract_x
_atom_site_fract_y
_atom_site_fract_z
Mg1 Mg 0.000 0.000 0.000
Ti1 Ti 0.000 0.000 0.500
I1 I 0.103 0.750 0.625